Cs2RbCd PBE optimized geometry; formation energy = 14.2 kJ/mol of formula units; excess energy over the best structure of this formula in the dataset = 58 meV per atom; DOS at the Fermi energy = 3.45 states/eV/cell; total magnetization = 0.0000 μB per atom; crystal system = monoclinic; symmetry = Cm
1.0
5.310 -0.028 -0.032
2.630 4.613 -0.032
2.576 1.488 13.212
Rb Cd Cs
1 1 2
Direct
0.500 0.500 0.499
0.667 0.667 0.000
0.060 0.060 0.817
0.273 0.273 0.183

***

Cs2Rb3Cd PBE optimized geometry; formation energy = 14.5 kJ/mol of formula units; DOS at the Fermi energy = 5.14 states/eV/cell; total magnetization = 0.0000 μB per atom; crystal system = orthorhombic; symmetry = Cmmm
1.0
5.258 0.000 0.000
0.000 7.414 -2.447
0.000 0.033 12.558
Rb Cd Cs
3 1 2
Direct
0.500 0.500 0.000
0.000 0.685 0.370
0.000 0.315 0.630
0.000 0.000 0.000
0.500 0.875 0.751
0.500 0.125 0.249

***

Cs2RbCd PBE optimized geometry; formation energy = -8.3 kJ/mol of formula units; excess energy over the best structure of this formula in the dataset = 0 meV per atom; DOS at the Fermi energy = 13.16 states/eV/cell; total magnetization = 0.0000 μB per atom; crystal system = monoclinic; symmetry = P2_1/c
1.0
-7.588 -1.556 -4.835
6.000 0.974 -9.729
-0.769 -12.083 5.097
Rb Cd Cs
4 4 8
Direct
0.500 0.807 0.500
0.000 0.693 0.500
0.000 0.307 0.500
0.500 0.193 0.500
0.360 0.534 0.569
0.640 0.466 0.431
0.860 0.966 0.431
0.140 0.034 0.569
0.292 0.358 0.217
0.250 0.420 0.841
0.750 0.080 0.159
0.792 0.142 0.783
0.250 0.920 0.841
0.208 0.858 0.217
0.708 0.642 0.783
0.750 0.580 0.159

***

CsRb3Cd3 PBE optimized geometry; formation energy = 136.5 kJ/mol of formula units; excess energy over the best structure of this formula in the dataset = 227 meV per atom; DOS at the Fermi energy = 15.92 states/eV/cell; total magnetization = 0.0000 μB per atom; crystal system = cubic; symmetry = Pm-3n
1.0
10.198 0.000 0.000
0.000 10.198 0.000
0.000 0.000 10.198
Cd Rb Cs
6 6 2
Direct
0.000 0.750 0.500
0.500 0.000 0.750
0.000 0.250 0.500
0.250 0.500 0.000
0.750 0.500 0.000
0.500 0.000 0.250
0.250 0.000 0.500
0.500 0.250 0.000
0.750 0.000 0.500
0.000 0.500 0.750
0.000 0.500 0.250
0.500 0.750 0.000
0.500 0.500 0.500
0.000 0.000 0.000

***

Cs8Rb5Cd PBE optimized geometry; formation energy = 29.3 kJ/mol of formula units; DOS at the Fermi energy = 14.35 states/eV/cell; total magnetization = 0.0000 μB per atom; crystal system = tetragonal; symmetry = I-4
1.0
11.662 -0.146 -3.547
-6.441 9.723 -3.547
0.080 0.146 12.189
Cs Rb Cd
8 5 1
Direct
0.335 0.469 0.399
0.531 0.931 0.867
0.106 0.493 0.695
0.589 0.894 0.387
0.798 0.411 0.305
0.069 0.936 0.601
0.507 0.202 0.613
0.064 0.665 0.133
0.500 0.500 0.000
0.930 0.015 0.227
0.788 0.703 0.773
0.985 0.212 0.915
0.297 0.070 0.085
0.250 0.750 0.500

***

CsRbCd3 PBE optimized geometry; formation energy = 161.1 kJ/mol of formula units; excess energy over the best structure of this formula in the dataset = 324 meV per atom; DOS at the Fermi energy = 4.04 states/eV/cell; total magnetization = 0.0000 μB per atom; crystal system = cubic; symmetry = Pm-3m
1.0
6.898 0.000 0.000
0.000 6.898 0.000
0.000 0.000 6.898
Rb Cs Cd
1 1 3
Direct
0.500 0.500 0.500
0.000 0.000 0.000
0.000 0.500 0.000
0.000 0.000 0.500
0.500 0.000 0.000

***

Cs4RbCd5 PBE optimized geometry; formation energy = 14.5 kJ/mol of formula units; DOS at the Fermi energy = 15.75 states/eV/cell; total magnetization = 0.0000 μB per atom; crystal system = orthorhombic; symmetry = Pmmn
1.0
5.321 0.000 0.000
0.000 14.551 0.000
0.000 0.000 13.974
Cd Cs Rb
10 8 2
Direct
0.749 0.287 0.221
0.749 0.713 0.221
0.259 0.000 0.500
0.251 0.787 0.279
0.749 0.713 0.779
0.251 0.787 0.721
0.741 0.500 0.000
0.749 0.287 0.779
0.251 0.213 0.721
0.251 0.213 0.279
0.760 0.788 0.500
0.760 0.000 0.270
0.240 0.500 0.230
0.760 0.212 0.500
0.240 0.712 0.000
0.240 0.500 0.770
0.760 0.000 0.730
0.240 0.288 0.000
0.295 0.000 0.000
0.705 0.500 0.500

***

CsRbCd2 PBE optimized geometry; formation energy = -22.9 kJ/mol of formula units; excess energy over the best structure of this formula in the dataset = 0 meV per atom; DOS at the Fermi energy = 4.56 states/eV/cell; total magnetization = 0.0000 μB per atom; crystal system = monoclinic; symmetry = P2_1/m
1.0
5.276 -0.011 0.000
-2.655 9.448 0.000
0.000 0.000 8.841
Rb Cs Cd
2 2 4
Direct
0.620 0.243 0.250
0.380 0.757 0.750
0.107 0.218 0.750
0.893 0.782 0.250
0.749 0.499 0.919
0.749 0.499 0.581
0.251 0.501 0.081
0.251 0.501 0.419

***

CsRbCd PBE optimized geometry; formation energy = 3.5 kJ/mol of formula units; excess energy over the best structure of this formula in the dataset = 42 meV per atom; DOS at the Fermi energy = 2.41 states/eV/cell; total magnetization = 0.0000 μB per atom; crystal system = tetragonal; symmetry = I4mm
1.0
-2.937 3.332 1.785
-2.868 -0.492 -3.800
-1.409 -7.377 5.033
Cd Cs Rb
1 1 1
Direct
0.671 0.671 0.342
0.031 0.031 0.063
0.298 0.298 0.595

***

CsRb2Cd PBE optimized geometry; formation energy = 0.7 kJ/mol of formula units; DOS at the Fermi energy = 12.68 states/eV/cell; total magnetization = 0.0000 μB per atom; crystal system = monoclinic; symmetry = P2_1/c
1.0
9.145 0.000 0.000
0.000 11.560 -0.313
0.000 -5.553 11.259
Rb Cs Cd
8 4 4
Direct
0.246 0.925 0.857
0.691 0.652 0.800
0.754 0.075 0.143
0.254 0.425 0.857
0.746 0.575 0.143
0.309 0.348 0.200
0.809 0.152 0.800
0.191 0.848 0.200
0.000 0.689 0.497
0.500 0.189 0.497
0.000 0.311 0.503
0.500 0.811 0.503
0.865 0.962 0.422
0.135 0.038 0.578
0.635 0.462 0.422
0.365 0.538 0.578

***

Cs3Rb7Cd PBE optimized geometry; formation energy = 17.6 kJ/mol of formula units; DOS at the Fermi energy = 10.56 states/eV/cell; total magnetization = 0.0000 μB per atom; crystal system = monoclinic; symmetry = Cm
1.0
1.179 -11.928 2.467
6.044 -5.626 -9.032
8.199 -3.805 1.383
Rb Cs Cd
7 3 1
Direct
0.749 0.749 0.776
0.659 0.004 0.166
0.310 0.958 0.786
0.004 0.659 0.166
0.564 0.564 0.603
0.958 0.310 0.786
0.248 0.248 0.040
0.421 0.421 0.277
0.792 0.198 0.470
0.198 0.792 0.470
0.972 0.972 0.209

***

Cs2RbCd2 PBE optimized geometry; formation energy = 31.6 kJ/mol of formula units; excess energy over the best structure of this formula in the dataset = 88 meV per atom; DOS at the Fermi energy = 9.18 states/eV/cell; total magnetization = 0.0000 μB per atom; crystal system = tetragonal; symmetry = P4/mbm
1.0
-7.018 7.443 -4.753
-4.782 -8.307 -5.947
-3.026 -0.687 3.393
Rb Cs Cd
2 4 4
Direct
0.000 0.000 0.000
0.500 0.500 0.000
0.359 0.859 0.000
0.859 0.641 0.000
0.641 0.141 0.000
0.141 0.359 0.000
0.150 0.650 0.500
0.650 0.850 0.500
0.350 0.150 0.500
0.850 0.350 0.500

***

CsRb2Cd4 PBE optimized geometry; formation energy = -24.7 kJ/mol of formula units; DOS at the Fermi energy = 9.34 states/eV/cell; total magnetization = 0.0000 μB per atom; crystal system = orthorhombic; symmetry = Cmcm
1.0
-6.722 -2.073 1.088
3.031 -7.185 5.030
-1.862 8.617 4.880
Rb Cd Cs
4 8 2
Direct
0.750 0.147 0.562
0.250 0.416 0.562
0.250 0.853 0.438
0.750 0.584 0.438
0.250 0.346 0.169
0.750 0.654 0.831
0.500 0.910 0.821
0.000 0.910 0.821
0.750 0.823 0.169
0.250 0.177 0.831
0.000 0.090 0.179
0.500 0.090 0.179
0.250 0.660 0.000
0.750 0.340 0.000

***

Cs12Rb5Cd2 PBE optimized geometry; formation energy = 12.5 kJ/mol of formula units; DOS at the Fermi energy = 18.13 states/eV/cell; total magnetization = 0.0000 μB per atom; crystal system = monoclinic; symmetry = C2/m
1.0
-4.043 -5.381 -7.493
11.276 2.747 -8.057
8.671 -7.742 7.651
Cs Rb Cd
12 5 2
Direct
0.995 0.835 0.989
0.885 0.952 0.298
0.521 0.263 0.042
0.115 0.048 0.702
0.479 0.737 0.958
0.105 0.425 0.696
0.409 0.575 0.304
0.005 0.165 0.011
0.587 0.048 0.702
0.413 0.952 0.298
0.591 0.425 0.696
0.895 0.575 0.304
0.809 0.739 0.617
0.191 0.261 0.383
0.712 0.252 0.424
0.000 0.500 0.000
0.288 0.748 0.576
0.353 0.000 0.000
0.647 0.000 0.000

***

CsRbCd4 PBE optimized geometry; formation energy = -28.7 kJ/mol of formula units; excess energy over the best structure of this formula in the dataset = 0 meV per atom; DOS at the Fermi energy = 2.85 states/eV/cell; total magnetization = 0.0000 μB per atom; crystal system = orthorhombic; symmetry = Imm2
1.0
-2.125 -4.071 -2.894
3.590 -5.917 0.597
-4.715 -3.673 3.540
Cd Rb Cs
4 1 1
Direct
0.836 0.490 0.839
0.836 0.839 0.490
0.162 0.011 0.666
0.162 0.666 0.011
0.435 0.065 0.065
0.570 0.430 0.430

***

Cs2RbCd PBE optimized geometry; formation energy = 68.6 kJ/mol of formula units; excess energy over the best structure of this formula in the dataset = 199 meV per atom; DOS at the Fermi energy = 5.33 states/eV/cell; total magnetization = 0.0000 μB per atom; crystal system = trigonal; symmetry = R-3m
1.0
-4.636 -0.687 -1.994
-2.145 -4.619 0.075
-9.109 1.650 14.101
Cd Cs Rb
1 2 1
Direct
0.000 0.000 0.000
0.919 0.919 0.242
0.081 0.081 0.758
0.500 0.500 0.500

***

CsRb5Cd2 PBE optimized geometry; formation energy = 13.5 kJ/mol of formula units; DOS at the Fermi energy = 5.55 states/eV/cell; total magnetization = 0.0000 μB per atom; crystal system = orthorhombic; symmetry = Immm
1.0
-4.540 3.485 2.616
-4.975 -5.680 6.500
3.075 2.920 9.016
Cd Rb Cs
2 5 1
Direct
0.267 0.233 0.233
0.733 0.767 0.767
0.667 0.520 0.147
0.333 0.853 0.480
0.667 0.147 0.520
0.333 0.480 0.853
0.000 0.500 0.500
0.000 0.000 0.000

***

Cs4Rb3Cd PBE optimized geometry; formation energy = 42.5 kJ/mol of formula units; DOS at the Fermi energy = 14.05 states/eV/cell; total magnetization = 0.0000 μB per atom; crystal system = tetragonal; symmetry = I4/mcm
1.0
-2.265 -8.491 -1.509
11.205 -7.081 -3.315
0.826 -6.983 11.715
Cd Cs Rb
2 8 6
Direct
0.750 0.500 0.500
0.250 0.500 0.500
0.407 0.317 0.868
0.275 0.132 0.317
0.593 0.683 0.132
0.225 0.683 0.868
0.775 0.317 0.132
0.907 0.868 0.317
0.725 0.868 0.683
0.093 0.132 0.683
0.378 0.744 0.500
0.250 0.000 0.000
0.750 0.000 0.000
0.622 0.256 0.500
0.878 0.500 0.744
0.122 0.500 0.256

***

Cs4RbCd4 PBE optimized geometry; formation energy = 14.5 kJ/mol of formula units; DOS at the Fermi energy = 12.57 states/eV/cell; total magnetization = 0.0000 μB per atom; crystal system = tetragonal; symmetry = P4_2/n
1.0
7.909 0.000 0.000
0.000 12.004 0.000
0.000 0.000 12.004
Cd Rb Cs
8 2 8
Direct
0.353 0.353 0.248
0.147 0.853 0.748
0.147 0.147 0.252
0.853 0.252 0.853
0.853 0.748 0.147
0.353 0.647 0.752
0.647 0.248 0.647
0.647 0.752 0.353
0.000 0.000 0.000
0.500 0.500 0.500
0.867 0.422 0.194
0.133 0.806 0.422
0.367 0.306 0.922
0.633 0.078 0.306
0.633 0.922 0.694
0.133 0.194 0.578
0.867 0.578 0.806
0.367 0.694 0.078

***

Cs4Rb4Cd PBE optimized geometry; formation energy = 14.5 kJ/mol of formula units; DOS at the Fermi energy = 8.42 states/eV/cell; total magnetization = 0.0000 μB per atom; crystal system = tetragonal; symmetry = I4/m
1.0
-2.603 4.641 -0.438
-5.484 -1.068 -11.266
-11.183 -2.722 5.068
Cs Rb Cd
4 4 1
Direct
0.142 0.217 0.998
0.860 0.498 0.283
0.140 0.502 0.717
0.858 0.783 0.002
0.498 0.841 0.663
0.502 0.159 0.337
0.839 0.163 0.659
0.161 0.837 0.341
0.500 0.500 0.000

***

Cs2Rb2Cd3 PBE optimized geometry; formation energy = -4.1 kJ/mol of formula units; DOS at the Fermi energy = 4.77 states/eV/cell; total magnetization = 0.0000 μB per atom; crystal system = monoclinic; symmetry = C2/m
1.0
-0.035 -3.912 -3.590
3.785 -4.290 4.638
-9.807 -0.544 4.616
Cs Cd Rb
2 3 2
Direct
0.653 0.061 0.307
0.347 0.939 0.693
0.736 0.581 0.472
0.000 0.000 0.000
0.264 0.419 0.528
0.099 0.541 0.197
0.901 0.459 0.803